The following is a DFT calculation (PBE-GGA) of TaHF after structural relaxation.

Lattice parameters (Å, degrees): 2.8376 2.9806 11.0207 90.00 90.00 118.42
Last column: magnetic moment on the atom in μB.
Fractional positions:
H 0.6086 0.2173 0.0000  0.39
H 0.2156 0.4311 0.5000  0.00
F 0.2934 0.5868 0.7653  0.01
F 0.2934 0.5868 0.2347  0.01
Ta 0.6278 0.2556 0.3686  0.00
Ta 0.6278 0.2556 0.6314  0.00

Results
SG = Amm2, No. 38
ρ = 8.1 g cm⁻³
Spin magnetization = 0.50 μB/f.u.
Energy = -37.46 eV/cell